Record 1
The following is a DFT calculation (PBE) of an optimized crystal structure of SrTaTc.

Cell: 7.8420 7.5976 3.1250 Å, 82.75 73.96 23.29°
Fractional positions:
Sr1 0.0000 0.0000 0.0000
Ta1 0.2956 0.2956 0.7044
Tc1 0.6753 0.6753 0.3247

* calculated total energy: -7.34 eV/atom
* E above lowest polymorph: 257 meV per atom

Record 2
The following is a DFT calculation (PBE) of an optimized crystal structure of SrTaTc2.

Cell: 9.1856 9.1856 9.1856 Å, 19.95 19.95 19.95°
Fractional positions:
Sr1 0.0000 0.0000 0.0000
Ta1 0.5000 0.5000 0.5000
Tc1 0.2369 0.2369 0.2369
Tc2 0.7631 0.7631 0.7631

* calculated total energy: -8.01 eV/atom
* E above lowest polymorph: 214 meV per atom

Record 3
The following is a DFT calculation (PBE) of an optimized crystal structure of SrTaTc2.

Cell: 5.6733 5.6733 5.6733 Å, 139.66 139.66 58.37°
Fractional positions:
Sr1 0.0000 0.0000 0.0000
Ta1 0.2500 0.7500 0.5000
Tc1 0.5000 0.5000 0.0000
Tc2 0.7500 0.2500 0.5000

* calculated total energy: -7.55 eV/atom
* E above lowest polymorph: 678 meV per atom

Record 4
The following is a DFT calculation (PBE) of an optimized crystal structure of SrTaTc.

Cell: 4.6828 4.6828 4.6828 Å, 60.00 60.00 60.00°
Fractional positions:
Sr1 0.0000 0.0000 0.0000
Ta1 0.2500 0.2500 0.2500
Tc1 0.7500 0.7500 0.7500

* calculated total energy: -5.52 eV/atom
* E above lowest polymorph: 2078 meV per atom

Record 5
The following is a DFT calculation (PBE) of an optimized crystal structure of SrTaTc3.

Cell: 4.8759 4.8759 4.8759 Å, 90.00 90.00 90.00°
Fractional positions:
Sr1 0.0000 0.0000 0.0000
Ta1 0.5000 0.5000 0.5000
Tc1 0.0000 0.5000 0.5000
Tc2 0.5000 0.0000 0.5000
Tc3 0.5000 0.5000 0.0000

* calculated total energy: -7.73 eV/atom
* E above lowest polymorph: 0 meV per atom

Record 6
The following is a DFT calculation (PBE) of an optimized crystal structure of SrTaTc.

Cell: 6.6976 6.6976 6.6976 Å, 150.96 150.96 41.54°
Fractional positions:
Sr1 0.0000 0.0000 0.0000
Ta1 0.2782 0.2782 0.0000
Tc1 0.6906 0.6906 0.0000

* calculated total energy: -7.60 eV/atom
* E above lowest polymorph: 0 meV per atom

Record 7
The following is a DFT calculation (PBE) of an optimized crystal structure of SrTaTc2.

Cell: 9.4559 9.4559 9.4559 Å, 149.78 149.78 43.26°
Fractional positions:
Sr1 0.3750 0.6250 0.7500
Sr2 0.6250 0.3750 0.2500
Ta1 0.1250 0.8750 0.2500
Ta2 0.8750 0.1250 0.7500
Tc1 0.0000 0.0000 0.0000
Tc2 0.0000 0.0000 0.5000
Tc3 0.0000 0.5000 0.0000
Tc4 0.5000 0.0000 0.5000

* calculated total energy: -7.56 eV/atom
* E above lowest polymorph: 660 meV per atom

Record 8
The following is a DFT calculation (PBE) of an optimized crystal structure of SrTaTc2.

Cell: 5.2748 5.2748 5.6805 Å, 104.44 104.44 35.18°
Fractional positions:
Sr1 0.0000 0.0000 0.0000
Ta1 0.7979 0.7979 0.3713
Tc1 0.2169 0.2169 0.6518
Tc2 0.5108 0.5108 0.5147

* calculated total energy: -8.03 eV/atom
* E above lowest polymorph: 198 meV per atom

Record 9
The following is a DFT calculation (PBE) of an optimized crystal structure of SrTa4Tc.

Cell: 5.5783 5.5783 5.5783 Å, 60.00 60.00 60.00°
Fractional positions:
Sr1 0.0000 0.0000 0.0000
Ta1 0.1250 0.6250 0.6250
Ta2 0.6250 0.1250 0.6250
Ta3 0.6250 0.6250 0.1250
Ta4 0.6250 0.6250 0.6250
Tc1 0.2500 0.2500 0.2500

* calculated total energy: -9.19 eV/atom

Record 10
The following is a DFT calculation (PBE) of an optimized crystal structure of SrTaTc2.

Cell: 4.7179 4.7179 4.7179 Å, 60.00 60.00 60.00°
Fractional positions:
Sr1 0.0000 0.0000 0.0000
Ta1 0.5000 0.5000 0.5000
Tc1 0.2500 0.2500 0.2500
Tc2 0.7500 0.7500 0.7500

* calculated total energy: -7.90 eV/atom
* E above lowest polymorph: 328 meV per atom

Record 11
The following is a DFT calculation (PBE) of an optimized crystal structure of SrTaTc4.

Cell: 5.3338 5.3338 5.3338 Å, 60.00 60.00 60.00°
Fractional positions:
Sr1 0.0000 0.0000 0.0000
Ta1 0.7500 0.7500 0.7500
Tc1 0.3758 0.3758 0.3758
Tc2 0.3758 0.3758 0.8727
Tc3 0.3758 0.8727 0.3758
Tc4 0.8727 0.3758 0.3758

* calculated total energy: -8.77 eV/atom

Record 12
The following is a DFT calculation (PBE) of an optimized crystal structure of SrTaTc2.

Cell: 2.9453 2.9453 9.3637 Å, 90.00 90.00 110.93°
Fractional positions:
Sr1 0.0000 0.0000 0.0000
Ta1 0.0000 0.0000 0.5000
Tc1 0.5000 0.5000 0.2831
Tc2 0.5000 0.5000 0.7169

* calculated total energy: -8.07 eV/atom
* E above lowest polymorph: 158 meV per atom

Record 13
The following is a DFT calculation (PBE) of an optimized crystal structure of SrTaTc2.

Cell: 3.2130 4.5437 5.0822 Å, 90.00 90.00 90.00°
Fractional positions:
Sr1 0.0000 0.0000 0.0000
Ta1 0.5000 0.0000 0.5000
Tc1 0.0000 0.5000 0.5000
Tc2 0.5000 0.5000 0.0000

* calculated total energy: -7.58 eV/atom
* E above lowest polymorph: 641 meV per atom

Record 14
The following is a DFT calculation (PBE) of an optimized crystal structure of SrTaTc2.

Cell: 3.3654 3.3654 7.7380 Å, 90.00 90.00 90.00°
Fractional positions:
Sr1 0.0000 0.0000 0.0000
Ta1 0.5000 0.5000 0.3612
Tc1 0.0000 0.0000 0.5297
Tc2 0.5000 0.5000 0.6805

* calculated total energy: -8.05 eV/atom
* E above lowest polymorph: 174 meV per atom

Record 15
The following is a DFT calculation (PBE) of an optimized crystal structure of SrTaTc2.

Cell: 4.6958 4.6958 4.6958 Å, 60.00 60.00 60.00°
Fractional positions:
Sr1 0.0000 0.0000 0.0000
Ta1 0.7500 0.7500 0.7500
Tc1 0.2500 0.2500 0.2500
Tc2 0.5000 0.5000 0.5000

* calculated total energy: -7.67 eV/atom
* E above lowest polymorph: 554 meV per atom

Record 16
The following is a DFT calculation (PBE) of an optimized crystal structure of Sr3TaTc.

Cell: 5.8782 5.8782 5.8782 Å, 90.00 90.00 90.00°
Fractional positions:
Sr1 0.0000 0.0000 0.5000
Sr2 0.0000 0.5000 0.0000
Sr3 0.5000 0.0000 0.0000
Ta1 0.0000 0.0000 0.0000
Tc1 0.5000 0.5000 0.5000

* calculated total energy: -3.63 eV/atom
* E above lowest polymorph: 215 meV per atom

Record 17
The following is a DFT calculation (PBE) of an optimized crystal structure of SrTaTc.

Cell: 3.3462 3.3462 7.3130 Å, 90.00 90.00 120.00°
Fractional positions:
Sr1 0.0000 0.0000 0.0000
Ta1 0.3333 0.6667 0.4191
Tc1 0.6667 0.3333 0.6403

* calculated total energy: -7.33 eV/atom
* E above lowest polymorph: 264 meV per atom

Record 18
The following is a DFT calculation (PBE) of an optimized crystal structure of SrTaTc2.

Cell: 5.5004 5.5004 5.5004 Å, 146.01 122.04 68.92°
Fractional positions:
Sr1 0.0000 0.0000 0.0000
Ta1 0.5000 0.5000 0.0000
Tc1 0.2730 0.7730 0.5000
Tc2 0.7270 0.2270 0.5000

* calculated total energy: -7.78 eV/atom
* E above lowest polymorph: 439 meV per atom

Record 19
The following is a DFT calculation (PBE) of an optimized crystal structure of SrTa3Tc.

Cell: 4.9431 4.9431 4.9431 Å, 90.00 90.00 90.00°
Fractional positions:
Sr1 0.0000 0.0000 0.0000
Ta1 0.0000 0.5000 0.5000
Ta2 0.5000 0.0000 0.5000
Ta3 0.5000 0.5000 0.0000
Tc1 0.5000 0.5000 0.5000

* calculated total energy: -8.56 eV/atom
* E above lowest polymorph: 0 meV per atom

Record 20
The following is a DFT calculation (PBE) of an optimized crystal structure of SrTaTc2.

Cell: 5.7296 5.7296 5.7296 Å, 148.26 128.22 62.02°
Fractional positions:
Sr1 0.0000 0.0000 0.0000
Ta1 0.2842 0.7842 0.5000
Tc1 0.5101 0.5101 0.0000
Tc2 0.7272 0.2272 0.5000

* calculated total energy: -7.88 eV/atom
* E above lowest polymorph: 339 meV per atom

no.,formation energy (eV/f.u.)
1,1.9
2,2.2
3,4.1
4,7.3
5,6.0
6,1.1
7,4.0
8,2.2
9,4.3
10,2.7
11,2.4
12,2.0
13,3.9
14,2.1
15,3.6
16,9.1
17,1.9
18,3.1
19,4.8
20,2.7